Material: Al2CoAsO6
Method: DFT, PBE with a Hubbard U
State: optimized geometry

## Properties
Total magnetic moment   4.01 μB/f.u.
Raw total energy   -6.6422 eV per atom
Crystal system   monoclinic

Cell: 9.8062 8.7537 5.3242 Å, 90.00 102.33 90.00°
Closest atoms and distances in Å follow each position.
Space group C2/c (No. 15)
One atom of each set of equivalent atoms:
Al  0.1996  0.0918  0.2710 (multiplicity 8)  4 O 1.76-1.84
Co  0.0000  0.4031  0.2500 (multiplicity 4)  6 O 1.99-2.18
As  0.0000  0.2401  0.7500 (multiplicity 4)  4 O 1.89-1.97
O  0.1091  0.3964  0.6483 (multiplicity 8)  1 Al 1.84, 1 As 1.89
O  0.1148  0.2542  0.1016 (multiplicity 8)  1 Al 1.79, 1 As 1.97, 1 Co 1.99
O  0.1551  0.0688  0.5717 (multiplicity 8)  2 Al 1.76